VASP calculation (PBE-GGA) on a geometry-optimized Ti6Bi3Au structure.

Lattice parameters (Å, degrees): 6.792 8.257 8.257 110.84 90.00 90.00
Each line ends with the local moment (μB).
Sites, in units of the cell vectors:
Ti1 0.585 0.249 0.751  0.07
Ti2 0.286 0.043 0.529  0.23
Ti3 0.661 0.883 0.117  -0.28
Ti4 0.786 0.529 0.043  0.23
Bi1 0.031 0.749 0.903  0.00
Bi2 0.031 0.097 0.251  0.00
Ti5 0.667 0.242 0.422  0.33
Bi3 0.813 0.579 0.421  -0.01
Ti6 0.167 0.422 0.242  0.33
Ti7 0.667 0.578 0.758  0.33
Ti8 0.085 0.751 0.249  0.07
Bi4 0.531 0.251 0.097  0.00
Ti9 0.167 0.758 0.578  0.33
Ti10 0.786 0.957 0.471  0.23
Ti11 0.161 0.117 0.883  -0.28
Au1 0.959 0.285 0.715  0.01
Bi5 0.313 0.421 0.579  -0.01
Bi6 0.531 0.903 0.749  0.00
Au2 0.459 0.715 0.285  0.01
Ti12 0.286 0.471 0.957  0.23

Summary:
- Crystal system: orthorhombic
- ΔE_f: -0.031 eV/atom
- Total magnetic moment: 1.09 μB per formula unit
- SG: Cmc2_1



VASP calculation (PBE-GGA) on a geometry-optimized InIr2Pt structure.

Lattice parameters (Å, degrees): 5.603 5.603 5.603 150.80 129.39 59.50
Sites, in units of the cell vectors:
Ir1 0.759 0.259 0.500
In1 0.245 0.745 0.500
Pt1 0.507 0.507 0.000
Ir2 0.988 0.988 0.000

Summary:
- Crystal system: orthorhombic
- ΔE_f: 0.124 eV/atom
- Total magnetic moment: 0.00 μB per formula unit
- SG: Imm2



VASP calculation (PBE-GGA) on a geometry-optimized Ce2YCd structure.

Lattice parameters (Å, degrees): 3.324 3.324 10.332 90.00 90.00 90.00
Each line ends with the local moment (μB).
Sites, in units of the cell vectors:
Y1 0.500 0.500 0.500  0.04
Cd1 0.500 0.500 0.000  0.00
Ce1 0.000 0.000 0.766  0.71
Ce2 0.000 0.000 0.234  0.71

Summary:
- Crystal system: tetragonal
- ΔE_f: 0.011 eV/atom
- Total magnetic moment: 1.78 μB per formula unit
- SG: P4/mmm
- E above lowest polymorph: 38 meV per atom



VASP calculation (PBE-GGA) on a geometry-optimized Sr2NdAlSe5 structure.

Lattice parameters (Å, degrees): 4.164 9.685 12.986 90.00 90.00 102.41
Sites, in units of the cell vectors:
Se1 0.502 0.005 0.267
Se2 0.498 0.995 0.767
Se3 0.680 0.359 0.866
Se4 0.704 0.408 0.184
Sr1 0.884 0.768 0.183
Se5 0.040 0.080 0.029
Se6 0.357 0.714 0.008
Al1 0.443 0.886 0.426
Nd1 0.794 0.588 0.529
Sr2 0.880 0.760 0.830
Se7 0.643 0.286 0.508
Al2 0.557 0.114 0.926
Sr3 0.120 0.240 0.330
Se8 0.960 0.920 0.529
Se9 0.296 0.592 0.684
Se10 0.320 0.641 0.366
Sr4 0.116 0.232 0.683
Nd2 0.206 0.412 0.029

Summary:
- Crystal system: orthorhombic
- Total magnetic moment: 0.00 μB per formula unit
- SG: Cmc2_1
- Energy relative to the elements, uncorrected: -1686 meV/atom



VASP calculation (PBE-GGA) on a geometry-optimized Al3OsCl structure.

Lattice parameters (Å, degrees): 4.481 4.481 4.481 90.00 90.00 90.00
Each line ends with the local moment (μB).
Sites, in units of the cell vectors:
Al1 0.000 0.000 0.500  0.01
Cl1 0.000 0.000 0.000  0.01
Al2 0.000 0.500 0.000  0.01
Al3 0.500 0.000 0.000  0.02
Os1 0.500 0.500 0.500  0.74

Summary:
- Crystal system: cubic
- Total magnetic moment: 0.98 μB per formula unit
- SG: Pm-3m
- Energy relative to the elements, uncorrected: 1174 meV/atom
- E above lowest polymorph: 1285 meV per atom



VASP calculation (PBE-GGA) on a geometry-optimized NaVZn structure.

Lattice parameters (Å, degrees): 7.792 5.726 2.843 107.92 91.44 72.68
Sites, in units of the cell vectors:
Zn1 0.394 0.495 0.318
V1 0.640 0.127 0.642
Na1 0.995 0.712 0.907
Zn2 0.591 0.733 0.911
V2 0.787 0.315 0.132
Na2 0.230 0.096 0.533

Summary:
- Crystal system: triclinic
- ΔE_f: 0.342 eV/atom
- Total magnetic moment: 0.00 μB per formula unit
- SG: P1
- E above lowest polymorph: 207 meV per atom



VASP calculation (PBE-GGA) on a geometry-optimized RbNaCeCl6 structure.

Lattice parameters (Å, degrees): 7.222 7.222 14.203 90.00 90.00 120.00
Sites, in units of the cell vectors:
Cl1 0.619 0.978 0.857
Cl2 0.641 0.619 0.143
Na1 0.333 0.667 0.250
Cl3 0.641 0.022 0.357
Cl4 0.978 0.619 0.357
Ce1 0.667 0.333 0.250
Cl5 0.381 0.359 0.357
Cl6 0.022 0.641 0.857
Cl7 0.022 0.381 0.643
Cl8 0.359 0.381 0.857
Cl9 0.359 0.978 0.643
Cl10 0.978 0.359 0.143
Rb1 0.000 0.000 0.000
Cl11 0.619 0.641 0.643
Rb2 0.000 0.000 0.500
Ce2 0.333 0.667 0.750
Cl12 0.381 0.022 0.143
Na2 0.667 0.333 0.750

Summary:
- Crystal system: trigonal
- Total magnetic moment: 0.00 μB per formula unit
- SG: P-31c
- Energy relative to the elements, uncorrected: -1966 meV/atom



VASP calculation (PBE-GGA) on a geometry-optimized Ac6CoHg3 structure.

Lattice parameters (Å, degrees): 8.143 8.330 11.070 90.00 81.29 90.00
Sites, in units of the cell vectors:
Hg1 0.000 0.000 0.500
Hg2 0.951 0.388 0.718
Co1 0.000 0.000 0.000
Ac1 0.280 0.831 0.060
Ac2 0.639 0.196 0.579
Ac3 0.169 0.053 0.760
Ac4 0.861 0.696 0.921
Hg3 0.451 0.112 0.218
Hg4 0.500 0.500 0.000
Hg5 0.549 0.888 0.782
Hg6 0.049 0.612 0.282
Ac5 0.139 0.304 0.079
Co2 0.500 0.500 0.500
Ac6 0.780 0.669 0.560
Ac7 0.220 0.331 0.440
Ac8 0.831 0.947 0.240
Ac9 0.331 0.553 0.740
Ac10 0.720 0.169 0.940
Ac11 0.361 0.804 0.421
Ac12 0.669 0.447 0.260

Summary:
- Crystal system: monoclinic
- ΔE_f: -0.244 eV/atom
- Total magnetic moment: 0.00 μB per formula unit
- SG: P2_1/c



VASP calculation (PBE-GGA) on a geometry-optimized GeSbPCl2 structure.

Lattice parameters (Å, degrees): 4.807 4.807 5.169 90.00 90.00 90.00
Each line ends with the local moment (μB).
Sites, in units of the cell vectors:
Ge1 0.000 0.000 0.000  -0.01
Cl1 0.500 0.000 0.000  0.01
P1 0.000 0.000 0.500  -0.04
Sb1 0.500 0.500 0.500  0.20
Cl2 0.000 0.500 0.000  0.01

Summary:
- Crystal system: tetragonal
- Total magnetic moment: 0.38 μB per formula unit
- SG: P4/mmm
- Energy relative to the elements, uncorrected: 196 meV/atom
- E above lowest polymorph: 0 meV per atom



VASP calculation (PBE-GGA) on a geometry-optimized SmHoTm2Sb4 structure.

Lattice parameters (Å, degrees): 6.191 6.191 7.586 114.09 114.09 89.99
Sites, in units of the cell vectors:
Sm1 0.937 0.937 0.000
Sb1 0.437 0.937 0.000
Tm1 0.187 0.687 0.500
Sb2 0.685 0.685 0.495
Ho1 0.437 0.437 0.000
Sb3 0.937 0.437 0.000
Tm2 0.687 0.187 0.500
Sb4 0.190 0.190 0.505

Summary:
- Crystal system: tetragonal
- Total magnetic moment: 0.00 μB per formula unit
- SG: I4/mmm
- Energy relative to the elements, uncorrected: -1101 meV/atom



VASP calculation (PBE-GGA) on a geometry-optimized K4U3PbS12 structure.

Lattice parameters (Å, degrees): 9.075 9.075 9.075 109.47 109.47 109.47
Each line ends with the local moment (μB).
Sites, in units of the cell vectors:
U1 0.500 0.500 0.000  -0.16
S1 0.250 0.750 0.500  0.01
S2 0.250 0.500 0.750  0.01
Pb1 0.000 0.000 0.000  0.00
U2 0.500 0.000 0.500  -0.16
S3 0.000 0.268 0.268  0.01
S4 0.732 0.732 0.000  0.01
S5 0.268 0.000 0.268  0.01
S6 0.750 0.250 0.500  0.01
S7 0.268 0.268 0.000  0.01
K1 0.500 0.000 0.000  0.00
S8 0.500 0.750 0.250  0.01
K2 0.000 0.500 0.000  0.00
S9 0.732 0.000 0.732  0.01
U3 0.000 0.500 0.500  -0.16
S10 0.500 0.250 0.750  0.01
K3 0.500 0.500 0.500  0.00
K4 0.000 0.000 0.500  0.00
S11 0.000 0.732 0.732  0.01
S12 0.750 0.500 0.250  0.01

Summary:
- Crystal system: cubic
- Total magnetic moment: 0.32 μB per formula unit
- SG: Im-3m
- Energy relative to the elements, uncorrected: -1151 meV/atom



VASP calculation (PBE-GGA) on a geometry-optimized Rb5P2S12 structure.

Lattice parameters (Å, degrees): 10.316 10.619 19.247 154.13 137.87 45.90
Sites, in units of the cell vectors:
S1 0.191 0.718 0.336
S2 0.521 0.322 0.062
Rb1 0.277 0.192 0.737
S3 0.695 0.671 0.771
Rb2 0.000 0.500 0.000
S4 0.031 0.183 0.187
S5 0.976 0.412 0.575
S6 0.809 0.282 0.664
S7 0.229 0.895 0.170
S8 0.479 0.678 0.938
S9 0.969 0.817 0.813
P1 0.271 0.981 0.972
S10 0.305 0.329 0.229
S11 0.771 0.105 0.830
Rb3 0.723 0.808 0.263
Rb4 0.663 0.617 0.423
Rb5 0.337 0.383 0.577
S12 0.024 0.588 0.425
P2 0.729 0.019 0.028

Summary:
- Crystal system: triclinic
- Total magnetic moment: 0.00 μB per formula unit
- SG: P-1
- Energy relative to the elements, uncorrected: -558 meV/atom